The following is a DFT calculation (PBE) of a relaxed NaSr6Cd5 crystal.

As for the symmetry: No. 65. The value obtained for the energy of formation is -0.271 eV per atom. The calculation puts the total energy at -1.603 eV per atom.

abc: 9.226 9.226 8.141
angles: 90.00 90.00 143.09
Sites, in units of the cell vectors:
Na 0.000 0.000 0.000
Sr 0.172 0.828 0.256
Sr 0.172 0.828 0.744
Sr 0.500 0.500 0.262
Sr 0.500 0.500 0.738
Sr 0.828 0.172 0.256
Sr 0.828 0.172 0.744
Cd 0.000 0.000 0.500
Cd 0.335 0.665 0.500
Cd 0.339 0.661 0.000
Cd 0.661 0.339 0.000
Cd 0.665 0.335 0.500